1.
This record from the Alexandria database describes an optimized crystal structure of Os3ClO. The functional is PBE-GGA.

Cell lengths 4.1705, 4.1705, 4.1705 Å; angles 90.00, 90.00, 90.00 degrees
Last column: nearest neighbours and their distance in Å.
Sites, in units of the cell vectors:
Cl  0.5000  0.5000  0.5000  12 Os 2.95
Os  0.5000  0.0000  0.0000  2 O 2.09
Os  0.0000  0.5000  0.0000  2 O 2.09
Os  0.0000  0.0000  0.5000  2 O 2.09
O  0.0000  0.0000  0.0000  6 Os 2.09

Values from the calculation:
E_form (uncorrected)	1791.4	meV per atom
energy above the lowest structure with this stoichiometry	0	meV/atom
M_tot	0.2985	μB per atom
density of states at the Fermi level	5.8	states/eV/f.u.
V	73	Å³ per cell

2.
This record from the Alexandria database describes an optimized crystal structure of In3Ni. The functional is PBE-GGA.

Cell lengths 7.0716, 7.0716, 7.0716 Å; angles 155.12, 143.79, 44.44 degrees
Last column: nearest neighbours and their distance in Å.
Sites, in units of the cell vectors:
In  0.4304  0.4304  0.0000  2 Ni 2.81, 2 In 3.05
In  0.7500  0.2500  0.5000  4 Ni 2.67
In  0.0696  0.0696  0.0000  2 Ni 2.81, 2 In 3.05
Ni  0.2500  0.7500  0.5000  8 In 2.67-2.81

Values from the calculation:
total DFT energy (no corrections)	-3.518	eV/atom
M_tot	0.0000	μB per atom
density of states at the Fermi level	2.2	states/eV/f.u.
V	88	Å³ per cell

3.
This record from the Alexandria database describes an optimized crystal structure of KSn2Rh2. The functional is PBE-GGA.

Cell lengths 4.4521, 4.4521, 6.7783 Å; angles 70.83, 70.83, 90.00 degrees
Last column: nearest neighbours and their distance in Å.
Sites, in units of the cell vectors:
Rh  0.2500  0.7500  0.5000  4 Sn 2.62
Rh  0.7500  0.2500  0.5000  4 Sn 2.62
K  0.0000  0.0000  0.0000  8 Sn 3.54, 8 Rh 3.74
Sn  0.3654  0.3654  0.2692  4 Rh 2.62
Sn  0.6346  0.6346  0.7308  4 Rh 2.62

Values from the calculation:
energy above the lowest structure with this stoichiometry	0	meV/atom
M_tot	0.0000	μB per atom
density of states at the Fermi level	2.0	states/eV/f.u.
V	119	Å³ per cell

4.
This record from the Alexandria database describes an optimized crystal structure of Th2GaC. The functional is PBE-GGA.

Cell lengths 3.5728, 3.5728, 9.5703 Å; angles 79.24, 79.24, 60.00 degrees
Last column: nearest neighbours and their distance in Å.
Sites, in units of the cell vectors:
Th  0.1134  0.1134  0.6598  3 C 2.55
Th  0.8866  0.8866  0.3402  3 C 2.55
Ga  0.0000  0.0000  0.0000  2 Th 3.18
C  0.5000  0.5000  0.5000  6 Th 2.55

Values from the calculation:
total DFT energy (no corrections)	-6.791	eV/atom
M_tot	0.0000	μB per atom
density of states at the Fermi level	3.6	states/eV/f.u.
V	103	Å³ per cell

> Number 3 is which compound?

KSn2Rh2

> Which formula does entry 4 have?

Th2GaC

> Number 2 is which compound?

In3Ni

> What is the V in the first record?

73 Å³ per cell